Entry 1:
An optimized crystal structure of PuPaTcRu. Source: Alexandria via LeMat-Bulk, functional PBE.

Total energy ... -0.811 Ry per atom

The structure in POSCAR format:
```
PuPaTcRu
1.0
0.000 3.407 3.407
3.407 0.000 3.407
3.407 3.407 0.000
Pu Pa Tc Ru
1 1 1 1
direct
0.000 0.000 0.000 Pu
0.500 0.500 0.500 Pa
0.250 0.250 0.250 Tc
0.750 0.750 0.750 Ru
```

=====

Entry 2:
An optimized crystal structure of PuPaZnRu. Source: Alexandria via LeMat-Bulk, functional PBE.

Total energy ... -0.638 Ry per atom

The structure in POSCAR format:
```
PuPaZnRu
1.0
0.000 3.458 3.458
3.458 0.000 3.458
3.458 3.458 0.000
Pu Pa Zn Ru
1 1 1 1
direct
0.000 0.000 0.000 Pu
0.500 0.500 0.500 Pa
0.250 0.250 0.250 Zn
0.750 0.750 0.750 Ru
```

=====

Entry 3:
An optimized crystal structure of PuPaS2. Source: Alexandria via LeMat-Bulk, functional PBE.

Uncorrected formation energy ... -128.9 kJ per mole of atoms

The structure in POSCAR format:
```
PuPaS2
1.0
3.427 0.000 0.000
0.000 3.427 0.000
0.000 0.000 6.851
Pu Pa S
1 1 2
direct
0.000 0.000 0.000 Pu
0.000 0.000 0.500 Pa
0.500 0.500 0.260 S
0.500 0.500 0.740 S
```

=====

Entry 4:
An optimized crystal structure of PuPa2S4. Source: Alexandria via LeMat-Bulk, functional PBE.

Uncorrected formation energy ... -160.5 kJ per mole of atoms

The structure in POSCAR format:
```
PuPa2S4
1.0
-4.116 4.116 4.119
4.116 -4.116 4.119
4.116 4.116 -4.119
Pu Pa S
2 4 8
direct
0.000 0.000 0.000 Pu
0.750 0.250 0.500 Pu
0.251 0.125 0.626 Pa
0.375 0.749 0.874 Pa
0.499 0.625 0.374 Pa
0.875 0.501 0.126 Pa
0.126 0.376 0.403 S
0.126 0.376 0.903 S
0.277 0.874 0.249 S
0.473 0.222 0.097 S
0.624 0.028 0.751 S
0.624 0.527 0.749 S
0.778 0.874 0.251 S
0.972 0.723 0.597 S
```

=====

Entry 5:
An optimized crystal structure of Pu3PaS4. Source: Alexandria via LeMat-Bulk, functional PBE.

Uncorrected formation energy ... -164.2 kJ per mole of atoms

The structure in POSCAR format:
```
Pu3PaS4
1.0
5.576 0.000 0.000
0.000 5.576 0.000
0.000 0.000 5.576
Pu Pa S
3 1 4
direct
0.000 0.000 0.500 Pu
0.000 0.500 0.000 Pu
0.500 0.000 0.000 Pu
0.500 0.500 0.500 Pa
0.000 0.000 0.000 S
0.000 0.500 0.500 S
0.500 0.000 0.500 S
0.500 0.500 0.000 S
```

=====

Entry 6:
An optimized crystal structure of Pu3PaS6. Source: Alexandria via LeMat-Bulk, functional PBE.

Uncorrected formation energy ... -127.4 kJ per mole of atoms

The structure in POSCAR format:
```
Pu3PaS6
1.0
0.000 5.151 6.307
4.088 0.000 6.307
4.088 5.151 0.000
Pu Pa S
3 1 6
direct
0.000 0.000 0.000 Pu
0.250 0.250 0.250 Pu
0.750 0.750 0.750 Pu
0.500 0.500 0.500 Pa
0.116 0.610 0.884 S
0.252 0.748 0.252 S
0.390 0.884 0.610 S
0.610 0.116 0.390 S
0.748 0.252 0.748 S
0.884 0.390 0.116 S
```

=====

Entry 7:
An optimized crystal structure of PuPaS. Source: Alexandria via LeMat-Bulk, functional PBE.

Uncorrected formation energy ... -88.1 kJ per mole of atoms

The structure in POSCAR format:
```
PuPaS
1.0
7.645 0.000 0.000
0.000 3.660 0.000
0.000 0.000 8.417
Pu Pa S
4 4 4
direct
0.095 0.250 0.015 Pu
0.405 0.750 0.515 Pu
0.595 0.250 0.485 Pu
0.905 0.750 0.985 Pu
0.105 0.250 0.310 Pa
0.395 0.750 0.810 Pa
0.605 0.250 0.190 Pa
0.895 0.750 0.690 Pa
0.166 0.250 0.645 S
0.334 0.750 0.145 S
0.666 0.250 0.855 S
0.834 0.750 0.355 S
```

=====

Entry 8:
An optimized crystal structure of PuPa2S4. Source: Alexandria via LeMat-Bulk, functional PBE.

Uncorrected formation energy ... -153.4 kJ per mole of atoms

The structure in POSCAR format:
```
PuPa2S4
1.0
1.933 -6.446 0.000
1.933 6.446 0.000
0.000 0.000 12.923
Pu Pa S
2 4 8
direct
0.119 0.881 0.750 Pu
0.881 0.119 0.250 Pu
0.365 0.635 0.564 Pa
0.365 0.635 0.936 Pa
0.635 0.365 0.064 Pa
0.635 0.365 0.436 Pa
0.000 0.000 0.000 S
0.000 0.000 0.500 S
0.272 0.728 0.129 S
0.272 0.728 0.371 S
0.462 0.538 0.750 S
0.538 0.462 0.250 S
0.728 0.272 0.629 S
0.728 0.272 0.871 S
```

=====

Entry 9:
An optimized crystal structure of Pu4PaS6. Source: Alexandria via LeMat-Bulk, functional PBE.

Uncorrected formation energy ... -160.0 kJ per mole of atoms

The structure in POSCAR format:
```
Pu4PaS6
1.0
1.945 -6.499 0.000
1.945 6.499 0.000
0.000 0.000 19.456
Pu Pa S
8 2 12
direct
0.090 0.910 0.631 Pu
0.090 0.910 0.869 Pu
0.361 0.639 0.540 Pu
0.361 0.639 0.960 Pu
0.639 0.361 0.040 Pu
0.639 0.361 0.460 Pu
0.910 0.090 0.131 Pu
0.910 0.090 0.369 Pu
0.157 0.843 0.250 Pa
0.843 0.157 0.750 Pa
0.000 0.000 0.000 S
0.000 0.000 0.500 S
0.197 0.803 0.750 S
0.269 0.731 0.093 S
0.269 0.731 0.407 S
0.450 0.550 0.670 S
0.450 0.550 0.830 S
0.550 0.450 0.170 S
0.550 0.450 0.330 S
0.731 0.269 0.593 S
0.731 0.269 0.907 S
0.803 0.197 0.250 S
```

=====

Entry 10:
An optimized crystal structure of Pu2PaS3. Source: Alexandria via LeMat-Bulk, functional PBE.

Uncorrected formation energy ... -163.4 kJ per mole of atoms

The structure in POSCAR format:
```
Pu2PaS3
1.0
3.389 -5.871 0.000
3.389 5.871 0.000
-2.265 0.000 6.427
Pu Pa S
4 2 6
direct
0.000 0.000 0.000 Pu
0.167 0.833 0.500 Pu
0.500 0.500 0.500 Pu
0.833 0.167 0.500 Pu
0.333 0.667 0.000 Pa
0.667 0.333 0.000 Pa
0.084 0.417 0.251 S
0.249 0.249 0.749 S
0.417 0.084 0.251 S
0.583 0.916 0.749 S
0.751 0.751 0.251 S
0.916 0.583 0.749 S
```

=====

Entry 11:
An optimized crystal structure of PuPaS3. Source: Alexandria via LeMat-Bulk, functional PBE.

Uncorrected formation energy ... -166.8 kJ per mole of atoms

The structure in POSCAR format:
```
PuPaS3
1.0
7.391 0.000 0.000
0.000 3.919 0.000
0.000 0.000 15.029
Pu Pa S
4 4 12
direct
0.108 0.250 0.210 Pu
0.392 0.750 0.710 Pu
0.608 0.250 0.290 Pu
0.892 0.750 0.790 Pu
0.244 0.750 0.457 Pa
0.256 0.250 0.957 Pa
0.744 0.750 0.043 Pa
0.756 0.250 0.543 Pa
0.006 0.250 0.398 S
0.125 0.750 0.070 S
0.169 0.250 0.779 S
0.331 0.750 0.279 S
0.375 0.250 0.570 S
0.494 0.750 0.898 S
0.506 0.250 0.102 S
0.625 0.750 0.430 S
0.669 0.250 0.721 S
0.831 0.750 0.221 S
0.875 0.250 0.930 S
0.994 0.750 0.602 S
```

=====

Entry 12:
An optimized crystal structure of Pu2PaS4. Source: Alexandria via LeMat-Bulk, functional PBE.

Uncorrected formation energy ... -160.9 kJ per mole of atoms

The structure in POSCAR format:
```
Pu2PaS4
1.0
7.073 0.000 0.000
0.000 11.194 0.000
0.000 0.000 4.146
Pu Pa S
4 2 8
direct
0.099 0.187 0.000 Pu
0.401 0.687 0.000 Pu
0.599 0.313 0.000 Pu
0.901 0.813 0.000 Pu
0.000 0.500 0.500 Pa
0.500 0.000 0.500 Pa
0.132 0.722 0.500 S
0.244 0.449 0.000 S
0.256 0.949 0.000 S
0.368 0.222 0.500 S
0.632 0.778 0.500 S
0.744 0.051 0.000 S
0.756 0.551 0.000 S
0.868 0.278 0.500 S
```